Record 1
Density functional theory data (SCAN) for a PBEsol-optimized structure of ZrTl2Br.

Lattice parameters (Å, degrees): 3.293 3.293 9.269 90.00 90.00 90.00
Fractional coordinates of all 4 atoms:
Zr: 0.000 0.000 0.000
Tl: 0.000 0.000 0.516
Tl: 0.500 0.500 0.776
Br: 0.500 0.500 0.177

Calculated values
Space group: P4mm, No. 99
Total magnetization: 0.000 μB/f.u.
Density of states at the Fermi level: 0.3895 states/eV/atom
Uncorrected formation energy: -0.425 eV/atom
Calculated total energy: -1.8060 Ha/atom
Distance to the lowest polymorph of the same formula: 0.000 eV/atom
ρ: 9.6 g/cm3

=====

Record 2
Density functional theory data (SCAN) for a PBEsol-optimized structure of Zr2CdHg.

Lattice parameters (Å, degrees): 3.045 5.073 5.298 90.00 90.00 90.00
Fractional coordinates of all 4 atoms:
Zr: 0.000 0.000 0.000
Zr: 0.000 0.500 0.361
Cd: 0.500 0.500 0.861
Hg: 0.500 0.000 0.508

Calculated values
Space group: Pmm2, No. 25
Total magnetization: 0.000 μB/f.u.
Calculated formation energy: -0.2388 eV per atom
Density of states at the Fermi level: 0.7759 states/eV/atom
Calculated total energy: -1.4785 Ha/atom
Distance to the lowest polymorph of the same formula: 0.049 eV/atom
ρ: 10.1 g/cm3

=====

Record 3
Density functional theory data (SCAN) for a PBEsol-optimized structure of Zn3CrBi.

Lattice parameters (Å, degrees): 5.330 5.330 5.330 90.00 90.00 90.00
Fractional coordinates of all 5 atoms:
Zn: 0.000 0.000 0.500
Zn: 0.000 0.500 0.000
Zn: 0.500 0.000 0.000
Cr: 0.500 0.500 0.500
Bi: 0.000 0.000 0.000

Calculated values
Space group: Pm-3m, No. 221
Total magnetization: 5.293 μB/f.u.
Calculated formation energy: 1.0301 eV per atom
Density of states at the Fermi level: 0.4775 states/eV/atom
Calculated total energy: -0.9728 Ha/atom
ρ: 5.0 g/cm3

=====

Record 4
Density functional theory data (SCAN) for a PBEsol-optimized structure of LiLa2Co.

Lattice parameters (Å, degrees): 3.507 3.507 7.326 90.00 90.00 90.00
Fractional coordinates of all 4 atoms:
Li: 0.000 0.000 0.000
La: 0.000 0.000 0.366
La: 0.500 0.500 0.772
Co: 0.500 0.500 0.098

Calculated values
Space group: P4mm, No. 99
Total magnetization: 0.991 μB/f.u.
Calculated formation energy: 0.1995 eV per atom
Density of states at the Fermi level: 0.6825 states/eV/atom
Calculated total energy: -0.9656 Ha/atom
ρ: 6.3 g/cm3

=====

Record 5
Density functional theory data (SCAN) for a PBEsol-optimized structure of Pm3Sc.

Lattice parameters (Å, degrees): 6.007 6.007 6.007 131.53 131.53 70.98
Fractional coordinates of all 4 atoms:
Pm: 0.000 0.000 0.000
Pm: 0.250 0.750 0.500
Pm: 0.750 0.250 0.500
Sc: 0.500 0.500 0.000

Calculated values
Space group: I4/mmm, No. 139
Total magnetization: 0.000 μB/f.u.
Calculated formation energy: 0.0349 eV per atom
Density of states at the Fermi level: 1.3519 states/eV/atom
Calculated total energy: -1.3419 Ha/atom
ρ: 6.7 g/cm3

=====

Record 6
Density functional theory data (SCAN) for a PBEsol-optimized structure of NdGaNi.

Lattice parameters (Å, degrees): 7.049 4.406 7.094 90.00 90.00 90.00
Fractional coordinates of all 12 atoms:
Nd: 0.031 0.250 0.188
Nd: 0.469 0.750 0.688
Nd: 0.531 0.250 0.312
Nd: 0.969 0.750 0.812
Ga: 0.172 0.250 0.586
Ga: 0.328 0.750 0.086
Ga: 0.672 0.250 0.914
Ga: 0.828 0.750 0.414
Ni: 0.190 0.750 0.410
Ni: 0.310 0.250 0.910
Ni: 0.690 0.750 0.090
Ni: 0.810 0.250 0.590

Calculated values
Space group: Pnma, No. 62
Total magnetization: 0.000 μB/f.u.
Calculated formation energy: -0.6240 eV per atom
Density of states at the Fermi level: 0.5213 states/eV/atom
Calculated total energy: -0.9552 Ha/atom
ρ: 8.2 g/cm3